1.
! BePt2 | Alexandria via LeMat-Bulk | PBE | optimized geometry; values from VASP
! Electronic total energy   -5.7083 eV per atom
! Energy of formation from the pure elements   -0.44 eV per atom
! Size of the total moment   0.000 μB/atom
! Volume   80.0 Å³ per cell
&SYSTEM
  ibrav = 0, nat = 6, ntyp = 2
/
ATOMIC_SPECIES
Be 9.01 Be.upf
Pt 195.08 Pt.upf
CELL_PARAMETERS angstrom
-0.425 -5.246 -0.808
2.239 -4.667 -1.252
1.112 -0.948 5.437
ATOMIC_POSITIONS angstrom
Be 1.044 -1.007 4.952
Be 0.940 -3.015 1.703
Pt 1.337 -6.175 -0.039
Pt 2.300 -9.830 0.965
Pt 2.025 -7.378 2.521
Pt 0.645 -3.369 -0.531

2.
! BaPm2Tl | Alexandria via LeMat-Bulk | PBE | optimized geometry; values from VASP
! Electronic total energy   -3.5060 eV per atom
! Energy of formation from the pure elements   -0.06 eV per atom
! Size of the total moment   0.000 μB/atom
! Volume   148.2 Å³ per cell
&SYSTEM
  ibrav = 0, nat = 4, ntyp = 3
/
ATOMIC_SPECIES
Tl 204.38 Tl.upf
Ba 137.33 Ba.upf
Pm 145.00 Pm.upf
CELL_PARAMETERS angstrom
3.800 0.000 0.000
0.000 3.800 0.000
0.000 0.000 10.263
ATOMIC_POSITIONS angstrom
Tl 1.900 1.900 0.000
Ba 1.900 1.900 5.131
Pm 0.000 0.000 8.251
Pm 0.000 0.000 2.012

3.
! TaTlCr2 | Alexandria via LeMat-Bulk | PBE | optimized geometry; values from VASP
! Electronic total energy   -7.8766 eV per atom
! Energy of formation from the pure elements   0.49 eV per atom
! Size of the total moment   0.893 μB/atom
! Volume   65.3 Å³ per cell
&SYSTEM
  ibrav = 0, nat = 4, ntyp = 3
/
ATOMIC_SPECIES
Cr 52.00 Cr.upf
Ta 180.95 Ta.upf
Tl 204.38 Tl.upf
CELL_PARAMETERS angstrom
-0.641 3.969 -1.823
0.209 -1.812 -4.020
-3.311 -0.509 0.057
ATOMIC_POSITIONS angstrom
Cr 0.000 0.000 0.000
Cr -0.216 1.078 -2.921
Ta -1.976 1.730 -0.883
Tl -1.551 -1.160 -1.981

4.
! TbTmAgBi | Alexandria via LeMat-Bulk | PBE | optimized geometry; values from VASP
! Electronic total energy   -4.3465 eV per atom
! Energy of formation from the pure elements   -0.39 eV per atom
! Size of the total moment   0.242 μB/atom
! Volume   104.6 Å³ per cell
&SYSTEM
  ibrav = 0, nat = 4, ntyp = 4
/
ATOMIC_SPECIES
Tm 168.93 Tm.upf
Tb 158.93 Tb.upf
Bi 208.98 Bi.upf
Ag 107.87 Ag.upf
CELL_PARAMETERS angstrom
5.289 0.000 0.000
2.645 4.581 0.000
2.645 1.527 4.319
ATOMIC_POSITIONS angstrom
Tm 5.289 3.054 2.159
Tb 0.000 0.000 0.000
Bi 7.934 4.581 3.239
Ag 2.645 1.527 1.080

5.
! Y8AlOs2 | Alexandria via LeMat-Bulk | PBE | optimized geometry; values from VASP
! Electronic total energy   -7.2489 eV per atom
! Energy of formation from the pure elements   -0.17 eV per atom
! Size of the total moment   0.000 μB/atom
! Volume   305.0 Å³ per cell
&SYSTEM
  ibrav = 0, nat = 11, ntyp = 3
/
ATOMIC_SPECIES
Y 88.91 Y.upf
Al 26.98 Al.upf
Os 190.23 Os.upf
CELL_PARAMETERS angstrom
-4.531 -3.001 -0.516
4.756 -4.516 -4.365
1.128 -1.117 7.716
ATOMIC_POSITIONS angstrom
Y -0.983 -3.317 -1.243
Y -1.949 -2.412 1.975
Y 1.351 -2.743 1.177
Y 2.031 -1.964 4.780
Y 3.889 -3.704 -1.408
Y 0.038 -5.925 1.678
Y 3.338 -6.256 0.881
Y 2.372 -5.351 4.098
Al -4.508 -3.016 -0.505
Os 1.366 -4.963 -0.808
Os 0.023 -3.705 3.664

6.
! Sr3Re | Alexandria via LeMat-Bulk | PBE | optimized geometry; values from VASP
! Electronic total energy   -3.3918 eV per atom
! Energy of formation from the pure elements   0.98 eV per atom
! Size of the total moment   0.164 μB/atom
! Volume   148.4 Å³ per cell
&SYSTEM
  ibrav = 0, nat = 4, ntyp = 2
/
ATOMIC_SPECIES
Re 186.21 Re.upf
Sr 87.62 Sr.upf
CELL_PARAMETERS angstrom
-6.193 7.879 6.663
-8.627 4.955 6.770
-5.745 5.124 9.250
ATOMIC_POSITIONS angstrom
Re 0.000 0.000 0.000
Sr -5.591 4.882 6.167
Sr -10.282 8.979 11.342
Sr -14.974 13.076 16.517